Li4Pa3NbN8: relaxed, PBE.

- spin magnetization (μB per formula unit) = 0.0
- V (A^3/atom) = 13.05
- electronic total energy (eV/cell) = -131.3
- crystal system = trigonal
- energy relative to the elements, uncorrected (meV/atom) = -1158

Unit cell a=6.4524 b=6.4524 c=6.4524 alpha=64.53 beta=64.53 gamma=64.53
Fractional positions:
Li1 0.0000 0.0000 0.0000
Li2 0.0000 0.5000 0.5000
Li3 0.5000 0.0000 0.5000
Li4 0.5000 0.5000 0.0000
Pa1 0.0000 0.0000 0.5000
Pa2 0.0000 0.5000 0.0000
Pa3 0.5000 0.0000 0.0000
Nb1 0.5000 0.5000 0.5000
N1 0.2370 0.2370 0.2370
N2 0.2515 0.7299 0.7299
N3 0.2701 0.2701 0.7485
N4 0.2701 0.7485 0.2701
N5 0.7299 0.2515 0.7299
N6 0.7299 0.7299 0.2515
N7 0.7485 0.2701 0.2701
N8 0.7630 0.7630 0.7630

---

LiPaNb2N4: relaxed, PBE.

- spin magnetization (μB per formula unit) = 0.0
- V (A^3/atom) = 11.73
- electronic total energy (eV/cell) = -73.5
- crystal system = tetragonal
- energy relative to the elements, uncorrected (meV/atom) = -1079

Unit cell a=5.6086 b=5.6086 c=5.6086 alpha=132.60 beta=132.60 gamma=69.28
Fractional positions:
Li1 0.0000 0.0000 0.0000
Pa1 0.5000 0.5000 0.0000
Nb1 0.2500 0.7500 0.5000
Nb2 0.7500 0.2500 0.5000
N1 0.0000 0.5000 0.5000
N2 0.2433 0.2433 0.0000
N3 0.5000 0.0000 0.5000
N4 0.7567 0.7567 0.0000

---

Li2PaNb3N8: relaxed, PBE.

- spin magnetization (μB per formula unit) = 0.0
- V (A^3/atom) = 12.94
- electronic total energy (eV/cell) = -118.9
- crystal system = trigonal
- energy relative to the elements, uncorrected (meV/atom) = -627

Unit cell a=6.3540 b=6.3540 c=6.3540 alpha=59.94 beta=59.94 gamma=59.94
Fractional positions:
Li1 0.0000 0.0000 0.0000
Li2 0.3749 0.3749 0.3749
Pa1 0.6176 0.6176 0.6176
Nb1 0.0025 0.0025 0.4761
Nb2 0.0025 0.4761 0.0025
Nb3 0.4761 0.0025 0.0025
N1 0.2103 0.7574 0.7574
N2 0.2381 0.2381 0.2381
N3 0.2553 0.2553 0.7817
N4 0.2553 0.7817 0.2553
N5 0.7574 0.2103 0.7574
N6 0.7574 0.7574 0.2103
N7 0.7580 0.7580 0.7580
N8 0.7817 0.2553 0.2553

---

LiNbPbN2: relaxed, PBE.

- spin magnetization (μB per formula unit) = 0.7
- V (A^3/atom) = 19.95
- electronic total energy (eV/cell) = -30.1
- crystal system = tetragonal
- energy relative to the elements, uncorrected (meV/atom) = 442

Unit cell a=4.0445 b=4.0445 c=6.0981 alpha=90.00 beta=90.00 gamma=90.00
Fractional positions:
Li1 0.0000 0.0000 0.0000
Nb1 0.5000 0.5000 0.5000
Pb1 0.5000 0.5000 0.0000
N1 0.0000 0.5000 0.5000
N2 0.5000 0.0000 0.5000

---

Li2PmNb3N6: relaxed, PBE.

- spin magnetization (μB per formula unit) = 0.0
- V (A^3/atom) = 11.80
- electronic total energy (eV/cell) = -100.7
- crystal system = monoclinic
- energy relative to the elements, uncorrected (meV/atom) = -993

Unit cell a=7.2483 b=7.2483 c=6.6055 alpha=106.56 beta=106.56 gamma=25.25
Fractional positions:
Li1 0.1764 0.1764 0.3643
Li2 0.8236 0.8236 0.6357
Pm1 0.5000 0.5000 0.0000
Nb1 0.1743 0.1743 0.8209
Nb2 0.5000 0.5000 0.5000
Nb3 0.8257 0.8257 0.1791
N1 0.0063 0.0063 0.7278
N2 0.3247 0.3247 0.9383
N3 0.3375 0.3375 0.4005
N4 0.6625 0.6625 0.5995
N5 0.6753 0.6753 0.0617
N6 0.9937 0.9937 0.2722

---

LiPrNbN3: relaxed, PBE.

- spin magnetization (μB per formula unit) = 0.0
- V (A^3/atom) = 12.69
- electronic total energy (eV/cell) = -94.5
- crystal system = monoclinic
- energy relative to the elements, uncorrected (meV/atom) = -917

Unit cell a=6.9017 b=3.2624 c=6.9998 alpha=90.00 beta=105.00 gamma=90.00
Fractional positions:
Li1 0.0787 0.2500 0.0902
Li2 0.9213 0.7500 0.9098
Pr1 0.2122 0.2500 0.7377
Pr2 0.7878 0.7500 0.2623
Nb1 0.3227 0.7500 0.3215
Nb2 0.6773 0.2500 0.6785
N1 0.1371 0.2500 0.3674
N2 0.2148 0.7500 0.0312
N3 0.4528 0.7500 0.6640
N4 0.5472 0.2500 0.3360
N5 0.7852 0.2500 0.9688
N6 0.8629 0.7500 0.6326

---

Li3Pu2NbN6: relaxed, PBE.

- spin magnetization (μB per formula unit) = 6.0
- V (A^3/atom) = 12.07
- electronic total energy (eV/cell) = -104.9
- crystal system = monoclinic
- energy relative to the elements, uncorrected (meV/atom) = -874

Unit cell a=5.7476 b=5.7476 c=5.4003 alpha=99.78 beta=99.78 gamma=120.26
Fractional positions:
Li1 0.0000 0.0000 0.0000
Li2 0.3506 0.6494 0.0000
Li3 0.6494 0.3506 0.0000
Pu1 0.1669 0.8331 0.5000
Pu2 0.8331 0.1669 0.5000
Nb1 0.5000 0.5000 0.5000
N1 0.1072 0.4300 0.2879
N2 0.2453 0.2453 0.7152
N3 0.4300 0.1072 0.2879
N4 0.5700 0.8928 0.7121
N5 0.7547 0.7547 0.2848
N6 0.8928 0.5700 0.7121

---

LiPu2Nb3N6: relaxed, PBE.

- spin magnetization (μB per formula unit) = 8.5
- V (A^3/atom) = 11.93
- electronic total energy (eV/cell) = -124.4
- crystal system = monoclinic
- energy relative to the elements, uncorrected (meV/atom) = -1140

Unit cell a=7.2480 b=7.2480 c=6.5197 alpha=104.83 beta=104.83 gamma=25.68
Fractional positions:
Li1 0.0000 0.0000 0.0000
Pu1 0.3401 0.3401 0.6832
Pu2 0.6599 0.6599 0.3168
Nb1 0.0000 0.0000 0.5000
Nb2 0.3417 0.3417 0.1779
Nb3 0.6583 0.6583 0.8221
N1 0.1642 0.1642 0.5884
N2 0.1673 0.1673 0.0620
N3 0.4945 0.4945 0.2590
N4 0.5055 0.5055 0.7410
N5 0.8327 0.8327 0.9380
N6 0.8358 0.8358 0.4116

---

Li3PuNb2N6: relaxed, PBE.

- spin magnetization (μB per formula unit) = 3.0
- V (A^3/atom) = 11.32
- electronic total energy (eV/cell) = -100.4
- crystal system = monoclinic
- energy relative to the elements, uncorrected (meV/atom) = -850

Unit cell a=7.0675 b=7.0675 c=6.3109 alpha=101.59 beta=101.59 gamma=26.14
Fractional positions:
Li1 0.0000 0.0000 0.0000
Li2 0.3235 0.3235 0.6589
Li3 0.6765 0.6765 0.3411
Pu1 0.0000 0.0000 0.5000
Nb1 0.3340 0.3340 0.1491
Nb2 0.6660 0.6660 0.8509
N1 0.1597 0.1597 0.6099
N2 0.1739 0.1739 0.0736
N3 0.4871 0.4871 0.2533
N4 0.5129 0.5129 0.7467
N5 0.8261 0.8261 0.9264
N6 0.8403 0.8403 0.3901

---

Li2PuNb3N6: relaxed, PBE.

- spin magnetization (μB per formula unit) = 4.1
- V (A^3/atom) = 11.30
- electronic total energy (eV/cell) = -110.6
- crystal system = monoclinic
- energy relative to the elements, uncorrected (meV/atom) = -1020

Unit cell a=7.0717 b=7.0717 c=6.4813 alpha=105.51 beta=105.51 gamma=25.79
Fractional positions:
Li1 0.1752 0.1752 0.3590
Li2 0.8248 0.8248 0.6410
Pu1 0.5000 0.5000 0.0000
Nb1 0.1739 0.1739 0.8234
Nb2 0.5000 0.5000 0.5000
Nb3 0.8261 0.8261 0.1766
N1 0.0021 0.0021 0.7356
N2 0.3316 0.3316 0.9323
N3 0.3357 0.3357 0.3978
N4 0.6643 0.6643 0.6022
N5 0.6684 0.6684 0.0677
N6 0.9979 0.9979 0.2644

---

LiPu2NbN4: relaxed, PBE.

- spin magnetization (μB per formula unit) = 0.7
- V (A^3/atom) = 12.67
- electronic total energy (eV/cell) = -82.0
- crystal system = monoclinic
- energy relative to the elements, uncorrected (meV/atom) = -1000

Unit cell a=5.6122 b=3.3283 c=5.7906 alpha=90.00 beta=110.44 gamma=90.00
Fractional positions:
Li1 0.0000 0.0000 0.0000
Pu1 0.5000 0.0000 0.5000
Pu2 0.5000 0.5000 0.0000
Nb1 0.0000 0.5000 0.5000
N1 0.2347 0.0000 0.7374
N2 0.2495 0.5000 0.2818
N3 0.7505 0.5000 0.7182
N4 0.7653 0.0000 0.2626

---

LiPu2NbN5: relaxed, PBE.

- spin magnetization (μB per formula unit) = 7.0
- V (A^3/atom) = 11.66
- electronic total energy (eV/cell) = -179.5
- crystal system = orthorhombic
- energy relative to the elements, uncorrected (meV/atom) = -831

Unit cell a=6.6108 b=6.6108 c=10.0802 alpha=90.00 beta=90.00 gamma=151.56
Fractional positions:
Li1 0.0224 0.9776 0.5000
Li2 0.9776 0.0224 0.0000
Pu1 0.3643 0.6357 0.3369
Pu2 0.3954 0.6046 0.7052
Pu3 0.6046 0.3954 0.2052
Pu4 0.6357 0.3643 0.8369
Nb1 0.3029 0.6971 0.0397
Nb2 0.6971 0.3029 0.5397
N1 0.0093 0.9907 0.8054
N2 0.1382 0.8618 0.0406
N3 0.1883 0.8117 0.4078
N4 0.2164 0.7836 0.6959
N5 0.4494 0.5506 0.1078
N6 0.5506 0.4494 0.6078
N7 0.7836 0.2164 0.1959
N8 0.8117 0.1883 0.9078
N9 0.8618 0.1382 0.5406
N10 0.9907 0.0093 0.3054

---

LiPuNb4N8: relaxed, PBE.

- spin magnetization (μB per formula unit) = 4.9
- V (A^3/atom) = 12.89
- electronic total energy (eV/cell) = -133.6
- crystal system = trigonal
- energy relative to the elements, uncorrected (meV/atom) = -749

Unit cell a=6.2891 b=6.2891 c=6.2891 alpha=61.15 beta=61.15 gamma=61.15
Fractional positions:
Li1 0.0000 0.0000 0.0000
Pu1 0.3935 0.3935 0.3935
Nb1 0.0052 0.0052 0.4877
Nb2 0.0052 0.4877 0.0052
Nb3 0.4877 0.0052 0.0052
Nb4 0.6244 0.6244 0.6244
N1 0.2365 0.2365 0.8070
N2 0.2365 0.8070 0.2365
N3 0.2450 0.2450 0.2450
N4 0.2490 0.7348 0.7348
N5 0.7348 0.2490 0.7348
N6 0.7348 0.7348 0.2490
N7 0.7597 0.7597 0.7597
N8 0.8070 0.2365 0.2365

---

Li4PuNb3N8: relaxed, PBE.

- spin magnetization (μB per formula unit) = 3.0
- V (A^3/atom) = 11.13
- electronic total energy (eV/cell) = -132.4
- crystal system = trigonal
- energy relative to the elements, uncorrected (meV/atom) = -851

Unit cell a=6.2810 b=6.2810 c=6.2810 alpha=60.74 beta=60.74 gamma=60.74
Fractional positions:
Li1 0.0000 0.0000 0.0000
Li2 0.0000 0.5000 0.5000
Li3 0.5000 0.0000 0.5000
Li4 0.5000 0.5000 0.0000
Pu1 0.5000 0.5000 0.5000
Nb1 0.0000 0.0000 0.5000
Nb2 0.0000 0.5000 0.0000
Nb3 0.5000 0.0000 0.0000
N1 0.2342 0.7422 0.7422
N2 0.2402 0.2402 0.2402
N3 0.2579 0.2578 0.7658
N4 0.2579 0.7658 0.2579
N5 0.7422 0.2342 0.7422
N6 0.7422 0.7422 0.2342
N7 0.7598 0.7598 0.7598
N8 0.7658 0.2578 0.2578

---

Li2PuNbN4: relaxed, PBE.

- spin magnetization (μB per formula unit) = 3.0
- V (A^3/atom) = 11.66
- electronic total energy (eV/cell) = -68.4
- crystal system = monoclinic
- energy relative to the elements, uncorrected (meV/atom) = -860

Unit cell a=5.3998 b=3.2646 c=5.6094 alpha=90.00 beta=109.40 gamma=90.00
Fractional positions:
Li1 0.0000 0.0000 0.0000
Li2 0.0000 0.5000 0.5000
Pu1 0.5000 0.0000 0.5000
Nb1 0.5000 0.5000 0.0000
N1 0.2838 0.0000 0.7665
N2 0.2837 0.5000 0.2523
N3 0.7162 0.0000 0.2335
N4 0.7163 0.5000 0.7477

---

Li3Nb3ReN8: relaxed, PBE.

- spin magnetization (μB per formula unit) = 0.0
- V (A^3/atom) = 11.20
- electronic total energy (eV/cell) = -123.2
- crystal system = trigonal
- energy relative to the elements, uncorrected (meV/atom) = -549

Unit cell a=6.2538 b=6.2538 c=6.2538 alpha=58.75 beta=58.75 gamma=58.75
Fractional positions:
Li1 0.0000 0.5000 0.5000
Li2 0.5000 0.0000 0.5000
Li3 0.5000 0.5000 0.0000
Nb1 0.0000 0.0000 0.5000
Nb2 0.0000 0.5000 0.0000
Nb3 0.5000 0.0000 0.0000
Re1 0.5000 0.5000 0.5000
N1 0.2413 0.2413 0.2413
N2 0.2510 0.7328 0.7328
N3 0.2672 0.2672 0.7490
N4 0.2672 0.7490 0.2672
N5 0.7328 0.2510 0.7328
N6 0.7328 0.7328 0.2510
N7 0.7490 0.2672 0.2672
N8 0.7587 0.7587 0.7587

---

Li2Nb2ReN6: relaxed, PBE.

- spin magnetization (μB per formula unit) = 0.6
- V (A^3/atom) = 11.42
- electronic total energy (eV/cell) = -90.9
- crystal system = monoclinic
- energy relative to the elements, uncorrected (meV/atom) = -415

Unit cell a=5.2940 b=5.2940 c=5.4499 alpha=99.25 beta=99.25 gamma=119.78
Fractional positions:
Li1 0.1649 0.8351 0.0000
Li2 0.8351 0.1649 0.0000
Nb1 0.3346 0.6654 0.5000
Nb2 0.6654 0.3346 0.5000
Re1 0.0000 0.0000 0.5000
N1 0.0656 0.3934 0.7157
N2 0.2476 0.2476 0.2831
N3 0.3934 0.0656 0.7157
N4 0.6066 0.9344 0.2843
N5 0.7524 0.7524 0.7169
N6 0.9344 0.6066 0.2843

---

Li3Nb2ReN6: relaxed, PBE.

- spin magnetization (μB per formula unit) = 0.0
- V (A^3/atom) = 10.28
- electronic total energy (eV/cell) = -95.4
- crystal system = monoclinic
- energy relative to the elements, uncorrected (meV/atom) = -597

Unit cell a=5.2511 b=5.2511 c=5.4557 alpha=99.25 beta=99.25 gamma=119.99
Fractional positions:
Li1 0.0000 0.0000 0.0000
Li2 0.3337 0.6663 0.0000
Li3 0.6663 0.3337 0.0000
Nb1 0.1668 0.8332 0.5000
Nb2 0.8332 0.1668 0.5000
Re1 0.5000 0.5000 0.5000
N1 0.0988 0.4235 0.2716
N2 0.2517 0.2517 0.7281
N3 0.4235 0.0988 0.2716
N4 0.5765 0.9012 0.7284
N5 0.7483 0.7483 0.2719
N6 0.9012 0.5765 0.7284

---

LiNbS2N: relaxed, PBE.

- spin magnetization (μB per formula unit) = 0.6
- V (A^3/atom) = 13.37
- distance to the lowest polymorph of the same formula (meV/atom) = 1050.5
- electronic total energy (eV/cell) = -25.2
- crystal system = tetragonal
- energy relative to the elements, uncorrected (meV/atom) = 671

Unit cell a=4.4156 b=4.4156 c=3.4279 alpha=90.00 beta=90.00 gamma=90.00
Fractional positions:
Li1 0.0000 0.0000 0.0000
Nb1 0.5000 0.5000 0.5000
S1 0.0000 0.5000 0.0000
S2 0.5000 0.0000 0.0000
N1 0.0000 0.0000 0.5000

---

LiNbSN2: relaxed, PBE.

- spin magnetization (μB per formula unit) = 0.0
- V (A^3/atom) = 11.16
- distance to the lowest polymorph of the same formula (meV/atom) = 1134.7
- electronic total energy (eV/cell) = -27.3
- crystal system = tetragonal
- energy relative to the elements, uncorrected (meV/atom) = 1089

Unit cell a=3.6323 b=3.6323 c=4.2306 alpha=90.00 beta=90.00 gamma=90.00
Fractional positions:
Li1 0.0000 0.0000 0.0000
Nb1 0.5000 0.5000 0.5000
S1 0.0000 0.0000 0.5000
N1 0.0000 0.5000 0.0000
N2 0.5000 0.0000 0.0000